The following is a PBE calculation of a geometry-optimized AsCI3 structure, from Alexandria via LeMat-Bulk.

Geometry as POSCAR:
```
AsCI3
1.0
5.702 0.000 0.000
0.000 5.702 0.000
0.000 0.000 5.702
As C I
1 1 3
direct
0.000 0.000 0.000 As
0.500 0.500 0.500 C
0.000 0.000 0.500 I
0.000 0.500 0.000 I
0.500 0.000 0.000 I
```

Calculated values
uncorrected energy: -2.1654 eV per atom
SG: Pm-3m (221)
spin magnetization: 1.960 μB/cell
crystal system: cubic